BaN2F2 (PBE, optimized geometry); formation energy from raw total energies = 0.031 eV per atom; energy = -4.4325 eV/atom; space-group type = P4/mmm (123); crystal system = tetragonal
1.0
-2.3802 3.2795 -2.9628
0.6400 -3.0739 -3.9166
-5.6076 -2.8658 1.3329
F N Ba
2 2 1
Direct
0.0000 0.5000 0.0000
0.5000 0.0000 0.0000
0.5000 0.5000 0.5000
0.0000 0.0000 0.5000
0.0000 0.0000 0.0000